Arrangement A

Crystalline HgSbIr at its relaxed geometry. Source: Alexandria via LeMat-Bulk, functional PBE.

```
data_HgSbIr
_cell_length_a 5.505
_cell_length_b 5.505
_cell_length_c 5.505
_cell_angle_alpha 142.14
_cell_angle_beta 142.17
_cell_angle_gamma 54.59
_symmetry_space_group_name_H-M 'P 1'
_symmetry_Int_Tables_number 1
loop_
_symmetry_equiv_pos_as_xyz
'x,y,z'
loop_
_atom_site_label
_atom_site_type_symbol
_atom_site_fract_x
_atom_site_fract_y
_atom_site_fract_z
Sb1 Sb 0.698 0.698 0.000
Hg1 Hg 0.996 0.996 0.000
Ir1 Ir 0.306 0.306 0.000
```

Arrangement B

Crystalline HgSbIr at its relaxed geometry. Source: Alexandria via LeMat-Bulk, functional PBE.

```
data_HgSbIr
_cell_length_a 6.962
_cell_length_b 6.962
_cell_length_c 3.156
_cell_angle_alpha 76.90
_cell_angle_beta 76.90
_cell_angle_gamma 26.20
_symmetry_space_group_name_H-M 'P 1'
_symmetry_Int_Tables_number 1
loop_
_symmetry_equiv_pos_as_xyz
'x,y,z'
loop_
_atom_site_label
_atom_site_type_symbol
_atom_site_fract_x
_atom_site_fract_y
_atom_site_fract_z
Hg1 Hg 0.976 0.976 0.024
Sb1 Sb 0.703 0.703 0.297
Ir1 Ir 0.322 0.322 0.678
```

Stability, lowest: arrangement A

Arrangement A

Crystalline HgSb2Ir2 at its relaxed geometry. Source: Alexandria via LeMat-Bulk, functional PBE.

```
data_HgSb2Ir2
_cell_length_a 4.047
_cell_length_b 4.047
_cell_length_c 8.751
_cell_angle_alpha 76.63
_cell_angle_beta 76.63
_cell_angle_gamma 90.00
_symmetry_space_group_name_H-M 'P 1'
_symmetry_Int_Tables_number 1
loop_
_symmetry_equiv_pos_as_xyz
'x,y,z'
loop_
_atom_site_label
_atom_site_type_symbol
_atom_site_fract_x
_atom_site_fract_y
_atom_site_fract_z
Sb1 Sb 0.352 0.352 0.297
Sb2 Sb 0.648 0.648 0.703
Ir1 Ir 0.750 0.250 0.500
Ir2 Ir 0.250 0.750 0.500
Hg1 Hg 0.000 0.000 0.000
```

Arrangement B

Crystalline HgSb2Ir2 at its relaxed geometry. Source: Alexandria via LeMat-Bulk, functional PBE.

```
data_HgSb2Ir2
_cell_length_a 4.566
_cell_length_b 4.566
_cell_length_c 6.294
_cell_angle_alpha 68.73
_cell_angle_beta 68.73
_cell_angle_gamma 90.00
_symmetry_space_group_name_H-M 'P 1'
_symmetry_Int_Tables_number 1
loop_
_symmetry_equiv_pos_as_xyz
'x,y,z'
loop_
_atom_site_label
_atom_site_type_symbol
_atom_site_fract_x
_atom_site_fract_y
_atom_site_fract_z
Ir1 Ir 0.379 0.379 0.242
Ir2 Ir 0.621 0.621 0.758
Hg1 Hg 0.000 0.000 0.000
Sb1 Sb 0.250 0.750 0.500
Sb2 Sb 0.750 0.250 0.500
```

Arrangement C

Crystalline HgSb2Ir2 at its relaxed geometry. Source: Alexandria via LeMat-Bulk, functional PBE.

```
data_HgSb2Ir2
_cell_length_a 8.002
_cell_length_b 8.002
_cell_length_c 3.138
_cell_angle_alpha 90.00
_cell_angle_beta 90.00
_cell_angle_gamma 90.00
_symmetry_space_group_name_H-M 'P 1'
_symmetry_Int_Tables_number 1
loop_
_symmetry_equiv_pos_as_xyz
'x,y,z'
loop_
_atom_site_label
_atom_site_type_symbol
_atom_site_fract_x
_atom_site_fract_y
_atom_site_fract_z
Sb1 Sb 0.846 0.346 0.500
Sb2 Sb 0.346 0.154 0.500
Sb3 Sb 0.654 0.846 0.500
Sb4 Sb 0.154 0.654 0.500
Hg1 Hg 0.000 0.000 0.000
Hg2 Hg 0.500 0.500 0.000
Ir1 Ir 0.134 0.366 0.000
Ir2 Ir 0.866 0.634 0.000
Ir3 Ir 0.366 0.866 0.000
Ir4 Ir 0.634 0.134 0.000
```

Stability, lowest: arrangement B

Arrangement A

Crystalline Sc4HgIr at its relaxed geometry. Source: Alexandria via LeMat-Bulk, functional PBE.

```
data_Sc4HgIr
_cell_length_a 5.536
_cell_length_b 5.536
_cell_length_c 5.536
_cell_angle_alpha 60.00
_cell_angle_beta 60.00
_cell_angle_gamma 60.00
_symmetry_space_group_name_H-M 'P 1'
_symmetry_Int_Tables_number 1
loop_
_symmetry_equiv_pos_as_xyz
'x,y,z'
loop_
_atom_site_label
_atom_site_type_symbol
_atom_site_fract_x
_atom_site_fract_y
_atom_site_fract_z
Hg1 Hg 0.750 0.750 0.750
Sc1 Sc 0.373 0.881 0.373
Sc2 Sc 0.373 0.373 0.881
Sc3 Sc 0.373 0.373 0.373
Sc4 Sc 0.881 0.373 0.373
Ir1 Ir 0.000 0.000 0.000
```

Arrangement B

Crystalline Sc4HgIr at its relaxed geometry. Source: Alexandria via LeMat-Bulk, functional PBE.

```
data_Sc4HgIr
_cell_length_a 4.583
_cell_length_b 4.584
_cell_length_c 6.831
_cell_angle_alpha 89.97
_cell_angle_beta 89.99
_cell_angle_gamma 90.00
_symmetry_space_group_name_H-M 'P 1'
_symmetry_Int_Tables_number 1
loop_
_symmetry_equiv_pos_as_xyz
'x,y,z'
loop_
_atom_site_label
_atom_site_type_symbol
_atom_site_fract_x
_atom_site_fract_y
_atom_site_fract_z
Sc1 Sc 0.001 0.497 0.274
Sc2 Sc 0.501 0.997 0.273
Sc3 Sc 0.001 0.497 0.723
Sc4 Sc 0.501 0.998 0.723
Hg1 Hg 0.501 0.497 0.998
Ir1 Ir 0.001 0.997 0.498
```

Stability, lowest: arrangement A

Arrangement A

Crystalline HgIr2Se at its relaxed geometry. Source: Alexandria via LeMat-Bulk, functional PBE.

```
data_HgIr2Se
_cell_length_a 8.745
_cell_length_b 8.745
_cell_length_c 8.745
_cell_angle_alpha 19.83
_cell_angle_beta 19.83
_cell_angle_gamma 19.83
_symmetry_space_group_name_H-M 'P 1'
_symmetry_Int_Tables_number 1
loop_
_symmetry_equiv_pos_as_xyz
'x,y,z'
loop_
_atom_site_label
_atom_site_type_symbol
_atom_site_fract_x
_atom_site_fract_y
_atom_site_fract_z
Se1 Se 0.250 0.250 0.250
Ir1 Ir 0.992 0.992 0.992
Ir2 Ir 0.508 0.508 0.508
Hg1 Hg 0.750 0.750 0.750
```

Arrangement B

Crystalline HgIr2Se at its relaxed geometry. Source: Alexandria via LeMat-Bulk, functional PBE.

```
data_HgIr2Se
_cell_length_a 3.076
_cell_length_b 4.700
_cell_length_c 4.700
_cell_angle_alpha 90.00
_cell_angle_beta 90.00
_cell_angle_gamma 90.00
_symmetry_space_group_name_H-M 'P 1'
_symmetry_Int_Tables_number 1
loop_
_symmetry_equiv_pos_as_xyz
'x,y,z'
loop_
_atom_site_label
_atom_site_type_symbol
_atom_site_fract_x
_atom_site_fract_y
_atom_site_fract_z
Ir1 Ir 0.000 0.500 0.500
Ir2 Ir 0.000 0.000 0.000
Se1 Se 0.500 0.500 0.000
Hg1 Hg 0.500 0.000 0.500
```

Stability, lowest: arrangement B

Arrangement A

Crystalline HgIr2Se at its relaxed geometry. Source: Alexandria via LeMat-Bulk, functional PBE.

```
data_HgIr2Se
_cell_length_a 4.621
_cell_length_b 3.054
_cell_length_c 5.117
_cell_angle_alpha 90.02
_cell_angle_beta 90.00
_cell_angle_gamma 90.00
_symmetry_space_group_name_H-M 'P 1'
_symmetry_Int_Tables_number 1
loop_
_symmetry_equiv_pos_as_xyz
'x,y,z'
loop_
_atom_site_label
_atom_site_type_symbol
_atom_site_fract_x
_atom_site_fract_y
_atom_site_fract_z
Ir1 Ir 0.500 0.375 0.227
Ir2 Ir 0.000 0.875 0.082
Se1 Se 0.000 0.375 0.448
Hg1 Hg 0.500 0.875 0.742
```

Arrangement B

Crystalline HgIr2Se at its relaxed geometry. Source: Alexandria via LeMat-Bulk, functional PBE.

```
data_HgIr2Se
_cell_length_a 4.999
_cell_length_b 4.999
_cell_length_c 4.999
_cell_angle_alpha 131.39
_cell_angle_beta 131.39
_cell_angle_gamma 71.20
_symmetry_space_group_name_H-M 'P 1'
_symmetry_Int_Tables_number 1
loop_
_symmetry_equiv_pos_as_xyz
'x,y,z'
loop_
_atom_site_label
_atom_site_type_symbol
_atom_site_fract_x
_atom_site_fract_y
_atom_site_fract_z
Ir1 Ir 0.250 0.750 0.500
Ir2 Ir 0.000 0.000 0.000
Se1 Se 0.500 0.500 0.000
Hg1 Hg 0.750 0.250 0.500
```

Arrangement C

Crystalline HgIr2Se at its relaxed geometry. Source: Alexandria via LeMat-Bulk, functional PBE.

```
data_HgIr2Se
_cell_length_a 5.352
_cell_length_b 5.352
_cell_length_c 5.326
_cell_angle_alpha 85.02
_cell_angle_beta 85.02
_cell_angle_gamma 32.29
_symmetry_space_group_name_H-M 'P 1'
_symmetry_Int_Tables_number 1
loop_
_symmetry_equiv_pos_as_xyz
'x,y,z'
loop_
_atom_site_label
_atom_site_type_symbol
_atom_site_fract_x
_atom_site_fract_y
_atom_site_fract_z
Ir1 Ir 0.796 0.796 0.847
Ir2 Ir 0.081 0.081 0.796
Hg1 Hg 0.188 0.188 0.279
Se1 Se 0.435 0.435 0.578
```

Stability, lowest: arrangement B

Arrangement A

Crystalline HgIr2Se at its relaxed geometry. Source: Alexandria via LeMat-Bulk, functional PBE.

```
data_HgIr2Se
_cell_length_a 2.924
_cell_length_b 2.924
_cell_length_c 9.320
_cell_angle_alpha 90.00
_cell_angle_beta 90.00
_cell_angle_gamma 121.04
_symmetry_space_group_name_H-M 'P 1'
_symmetry_Int_Tables_number 1
loop_
_symmetry_equiv_pos_as_xyz
'x,y,z'
loop_
_atom_site_label
_atom_site_type_symbol
_atom_site_fract_x
_atom_site_fract_y
_atom_site_fract_z
Hg1 Hg 0.500 0.500 0.750
Ir1 Ir 0.000 0.000 0.486
Ir2 Ir 0.000 0.000 0.014
Se1 Se 0.500 0.500 0.250
```

Arrangement B

Crystalline HgIr2Se at its relaxed geometry. Source: Alexandria via LeMat-Bulk, functional PBE.

```
data_HgIr2Se
_cell_length_a 4.778
_cell_length_b 4.778
_cell_length_c 4.778
_cell_angle_alpha 126.75
_cell_angle_beta 126.75
_cell_angle_gamma 78.65
_symmetry_space_group_name_H-M 'P 1'
_symmetry_Int_Tables_number 1
loop_
_symmetry_equiv_pos_as_xyz
'x,y,z'
loop_
_atom_site_label
_atom_site_type_symbol
_atom_site_fract_x
_atom_site_fract_y
_atom_site_fract_z
Ir1 Ir 0.500 0.500 0.000
Ir2 Ir 0.000 0.000 0.000
Se1 Se 0.250 0.750 0.500
Hg1 Hg 0.750 0.250 0.500
```

Stability, lowest: arrangement B